The following is a DFT calculation (PBE) of PrEr3Sc4 after structural relaxation.

abc: 10.8135 6.9699 5.9969
angles: 90.00 90.00 90.00
Closest atoms and distances in Å follow each position.
Positions (direct):
Pr1 0.0000 0.1341 0.0000  6 Sc 3.36-3.61, 6 Er 3.41-3.55
Pr2 0.5000 0.8659 0.5000  6 Sc 3.36-3.61, 6 Er 3.41-3.55
Er1 0.0000 0.8656 0.4979  6 Sc 3.33-3.62, 4 Er 3.40-3.42, 2 Pr 3.52-3.55
Er2 0.2494 0.8648 0.8445  6 Sc 3.35-3.62, 4 Er 3.40-3.54, 2 Pr 3.41-3.42
Er3 0.2506 0.1352 0.3445  6 Sc 3.35-3.62, 4 Er 3.40-3.54, 2 Pr 3.41-3.42
Er4 0.5000 0.1344 0.9979  6 Sc 3.33-3.62, 4 Er 3.40-3.42, 2 Pr 3.52-3.55
Er5 0.7494 0.1352 0.3445  6 Sc 3.35-3.62, 4 Er 3.40-3.54, 2 Pr 3.41-3.42
Er6 0.7506 0.8648 0.8445  6 Sc 3.35-3.62, 4 Er 3.40-3.54, 2 Pr 3.41-3.42
Sc1 0.0000 0.3856 0.5079  6 Sc 3.28-3.40, 4 Er 3.35-3.62, 2 Pr 3.43-3.51
Sc2 0.0000 0.6161 0.0081  6 Sc 3.32-3.40, 4 Er 3.35-3.52, 2 Pr 3.36-3.61
Sc3 0.2472 0.6162 0.3362  6 Sc 3.28-3.41, 5 Er 3.33-3.62, 1 Pr 3.39
Sc4 0.2528 0.3838 0.8362  6 Sc 3.28-3.41, 5 Er 3.33-3.62, 1 Pr 3.39
Sc5 0.5000 0.3839 0.5081  6 Sc 3.32-3.40, 4 Er 3.35-3.52, 2 Pr 3.36-3.61
Sc6 0.5000 0.6144 0.0079  6 Sc 3.28-3.40, 4 Er 3.35-3.62, 2 Pr 3.43-3.51
Sc7 0.7472 0.3838 0.8362  6 Sc 3.28-3.41, 5 Er 3.33-3.62, 1 Pr 3.39
Sc8 0.7528 0.6162 0.3362  6 Sc 3.28-3.41, 5 Er 3.33-3.62, 1 Pr 3.39

Computed properties:
calculated total energy: -87.065 eV per cell
crystal system: orthorhombic
energy of formation: 0.0327 eV/atom
total magnetic moment: 0.00 μB/atom
D(E_F): 1.78 states/eV/atom

The following is a DFT calculation (PBE) of Pr3Er4Sc after structural relaxation.

abc: 3.4882 11.6279 12.7995
angles: 90.00 90.00 90.00
Closest atoms and distances in Å follow each position.
Positions (direct):
Pr1 0.0000 0.0000 0.0000  6 Pr 3.49-3.76, 8 Er 3.87
Pr2 0.0000 0.5000 0.2400  6 Er 3.41-3.58, 4 Pr 3.49-3.76, 2 Sc 3.53
Pr3 0.0000 0.5000 0.7600  6 Er 3.41-3.58, 4 Pr 3.49-3.76, 2 Sc 3.53
Pr4 0.5000 0.0000 0.2600  6 Er 3.41-3.58, 4 Pr 3.49-3.76, 2 Sc 3.53
Pr5 0.5000 0.0000 0.7400  6 Er 3.41-3.58, 4 Pr 3.49-3.76, 2 Sc 3.53
Pr6 0.5000 0.5000 0.5000  6 Pr 3.49-3.76, 8 Er 3.87
Er1 0.0000 0.2421 0.3663  1 Sc 3.29, 3 Pr 3.41-3.58, 5 Er 3.42-3.49
Er2 0.0000 0.2421 0.6337  1 Sc 3.29, 3 Pr 3.41-3.58, 5 Er 3.42-3.49
Er3 0.0000 0.7579 0.3663  1 Sc 3.29, 3 Pr 3.41-3.58, 5 Er 3.42-3.49
Er4 0.0000 0.7579 0.6337  1 Sc 3.29, 3 Pr 3.41-3.58, 5 Er 3.42-3.49
Er5 0.5000 0.2579 0.1337  1 Sc 3.29, 3 Pr 3.41-3.58, 5 Er 3.42-3.49
Er6 0.5000 0.2579 0.8663  1 Sc 3.29, 3 Pr 3.41-3.58, 5 Er 3.42-3.49
Er7 0.5000 0.7421 0.1337  1 Sc 3.29, 3 Pr 3.41-3.58, 5 Er 3.42-3.49
Er8 0.5000 0.7421 0.8663  1 Sc 3.29, 3 Pr 3.41-3.58, 5 Er 3.42-3.49
Sc1 0.0000 0.0000 0.5000  4 Er 3.29, 2 Sc 3.49, 4 Pr 3.53
Sc2 0.5000 0.5000 0.0000  4 Er 3.29, 2 Sc 3.49, 4 Pr 3.53

Computed properties:
calculated total energy: -75.642 eV per cell
crystal system: orthorhombic
energy of formation: 0.1376 eV/atom
total magnetic moment: 0.00 μB/atom
D(E_F): 1.48 states/eV/atom

The following is a DFT calculation (PBE) of Pr2ErSc5 after structural relaxation.

abc: 6.8872 6.8872 9.4140
angles: 90.00 90.00 90.00
Closest atoms and distances in Å follow each position.
Positions (direct):
Pr1 0.0000 0.5000 0.0000  10 Sc 3.39-3.44, 2 Er 3.44
Pr2 0.0000 0.5000 0.5000  10 Sc 3.39-3.44, 2 Er 3.44
Pr3 0.5000 0.0000 0.0000  10 Sc 3.39-3.44, 2 Er 3.44
Pr4 0.5000 0.0000 0.5000  10 Sc 3.39-3.44, 2 Er 3.44
Er1 0.0000 0.0000 0.0003  8 Sc 3.39, 4 Pr 3.44
Er2 0.5000 0.5000 0.5003  8 Sc 3.39, 4 Pr 3.44
Sc1 0.0000 0.0000 0.4997  8 Sc 3.39, 4 Pr 3.44
Sc2 0.2502 0.2502 0.2500  2 Er 3.39, 6 Sc 3.39-3.45, 4 Pr 3.39
Sc3 0.2498 0.2498 0.7500  2 Er 3.39, 6 Sc 3.39-3.45, 4 Pr 3.39
Sc4 0.2502 0.7498 0.2500  2 Er 3.39, 6 Sc 3.39-3.45, 4 Pr 3.39
Sc5 0.2498 0.7502 0.7500  2 Er 3.39, 6 Sc 3.39-3.45, 4 Pr 3.39
Sc6 0.5000 0.5000 0.9997  8 Sc 3.39, 4 Pr 3.44
Sc7 0.7498 0.2502 0.2500  2 Er 3.39, 6 Sc 3.39-3.45, 4 Pr 3.39
Sc8 0.7502 0.2498 0.7500  2 Er 3.39, 6 Sc 3.39-3.45, 4 Pr 3.39
Sc9 0.7498 0.7498 0.2500  2 Er 3.39, 6 Sc 3.39-3.45, 4 Pr 3.39
Sc10 0.7502 0.7502 0.7500  2 Er 3.39, 6 Sc 3.39-3.45, 4 Pr 3.39

Computed properties:
calculated total energy: -90.436 eV per cell
crystal system: tetragonal
energy of formation: 0.0702 eV/atom
total magnetic moment: 0.00 μB/atom
D(E_F): 1.90 states/eV/atom

The following is a DFT calculation (PBE) of Pr7Er2Sc2 after structural relaxation.

abc: 6.6993 6.6993 10.1313
angles: 90.00 90.00 121.96
Closest atoms and distances in Å follow each position.
Positions (direct):
Pr1 0.0000 0.0000 0.0000  2 Er 3.34
Pr2 0.0000 0.5000 0.3167  4 Pr 3.25-3.53, 2 Sc 3.47, 2 Er 3.62
Pr3 0.0000 0.5000 0.6833  4 Pr 3.25-3.53, 2 Sc 3.47, 2 Er 3.62
Pr4 0.5000 0.0000 0.3167  4 Pr 3.25-3.53, 2 Sc 3.47, 2 Er 3.62
Pr5 0.5000 0.0000 0.6833  4 Pr 3.25-3.53, 2 Sc 3.47, 2 Er 3.62
Pr6 0.5000 0.5000 0.2083  2 Er 3.28, 2 Sc 3.36, 4 Pr 3.53
Pr7 0.5000 0.5000 0.7917  2 Er 3.28, 2 Sc 3.36, 4 Pr 3.53
Er1 0.2855 0.7145 0.0000  7 Pr 3.28-3.62, 2 Er 3.35
Er2 0.7145 0.2855 0.0000  7 Pr 3.28-3.62, 2 Er 3.35
Sc1 0.2528 0.2528 0.5000  2 Sc 3.21-3.29, 6 Pr 3.36-3.47
Sc2 0.7472 0.7472 0.5000  2 Sc 3.21-3.29, 6 Pr 3.36-3.47

Computed properties:
calculated total energy: -51.441 eV per cell
crystal system: orthorhombic
energy of formation: 0.3458 eV/atom
total magnetic moment: 0.00 μB/atom
D(E_F): 1.63 states/eV/atom

What is the total magnetic moment in the third record? 0.00 μB/atom